(1)
# Ru3RhO

Ru3RhO after structural relaxation (PBE, Alexandria).

Computed properties:
Excess energy over the best structure of this formula in the dataset in kJ/mol of formula units: 0.0
Space group: Pm-3m (221)
Spin magnetization in Bohr magnetons per cell: 0.00
Total energy in eV per atom: -7.698

a = 4.036 Å, b = 4.036 Å, c = 4.036 Å
α = 90.00°, β = 90.00°, γ = 90.00°
Positions (direct):
Ru (0.000, 0.500, 0.000)
Ru (0.000, 0.000, 0.500)
Ru (0.500, 0.000, 0.000)
Rh (0.500, 0.500, 0.500)
O (0.000, 0.000, 0.000)

(2)
# SbRuRhO6

SbRuRhO6 after structural relaxation (PBE, Alexandria).

Computed properties:
Space group: P-31c (163)
Spin magnetization in Bohr magnetons per cell: 4.05
Total energy in eV per atom: -6.545

a = 5.199 Å, b = 5.199 Å, c = 8.674 Å
α = 90.00°, β = 90.00°, γ = 120.00°
Positions (direct):
Sb (0.667, 0.333, 0.250)
Sb (0.333, 0.667, 0.750)
Ru (0.333, 0.667, 0.250)
Ru (0.667, 0.333, 0.750)
Rh (0.000, 0.000, 0.000)
Rh (0.000, 0.000, 0.500)
O (0.654, 0.657, 0.126)
O (0.003, 0.346, 0.126)
O (0.346, 0.003, 0.626)
O (0.997, 0.654, 0.874)
O (0.343, 0.346, 0.374)
O (0.003, 0.657, 0.374)
O (0.657, 0.003, 0.874)
O (0.654, 0.997, 0.374)
O (0.997, 0.343, 0.626)
O (0.343, 0.997, 0.126)
O (0.657, 0.654, 0.626)
O (0.346, 0.343, 0.874)

(3)
# SnRu2RhO

SnRu2RhO after structural relaxation (PBE, Alexandria).

Computed properties:
Space group: P4/mmm (123)
Spin magnetization in Bohr magnetons per cell: 6.07
Total energy in eV per atom: -4.838

a = 4.969 Å, b = 4.881 Å, c = 4.969 Å
α = 90.00°, β = 90.00°, γ = 90.00°
Positions (direct):
Ru (0.000, 0.000, 0.500)
Ru (0.500, 0.000, 0.000)
Rh (0.000, 0.500, 0.000)
Sn (0.000, 0.000, 0.000)
O (0.500, 0.500, 0.500)

(4)
# Sr3Ru2RhO9

Sr3Ru2RhO9 after structural relaxation (PBE, Alexandria).

Computed properties:
Space group: P-3m1 (164)
Spin magnetization in Bohr magnetons per cell: 5.73
Total energy in eV per atom: -6.706

a = 5.648 Å, b = 5.648 Å, c = 6.928 Å
α = 90.00°, β = 90.00°, γ = 120.00°
Positions (direct):
Sr (0.333, 0.667, 0.665)
Sr (0.000, 0.000, 0.000)
Sr (0.667, 0.333, 0.335)
Ru (0.333, 0.667, 0.168)
Ru (0.667, 0.333, 0.832)
Rh (0.000, 0.000, 0.500)
O (0.833, 0.167, 0.671)
O (0.833, 0.666, 0.671)
O (0.334, 0.167, 0.671)
O (0.666, 0.833, 0.329)
O (0.167, 0.334, 0.329)
O (0.167, 0.833, 0.329)
O (0.500, 0.000, 0.000)
O (0.000, 0.500, 0.000)
O (0.500, 0.500, 0.000)

(5)
# Sr2RuRhO

Sr2RuRhO after structural relaxation (PBE, Alexandria).

Computed properties:
Space group: P4/mmm (123)
Spin magnetization in Bohr magnetons per cell: 0.00
Total energy in eV per atom: -5.566

a = 5.185 Å, b = 3.866 Å, c = 5.185 Å
α = 90.00°, β = 90.00°, γ = 90.00°
Positions (direct):
Ru (0.000, 0.500, 0.000)
Rh (0.500, 0.500, 0.500)
O (0.000, 0.000, 0.000)
Sr (0.000, 0.000, 0.500)
Sr (0.500, 0.000, 0.000)

(6)
# SrRu2RhO8

SrRu2RhO8 after structural relaxation (PBE, Alexandria).

Computed properties:
Space group: P-3 (147)
Spin magnetization in Bohr magnetons per cell: 2.90
Total energy in eV per atom: -6.664

a = 5.324 Å, b = 5.324 Å, c = 7.181 Å
α = 90.00°, β = 90.00°, γ = 120.00°
Positions (direct):
Sr (0.000, 0.000, 0.000)
Ru (0.667, 0.333, 0.267)
Ru (0.333, 0.667, 0.733)
Rh (0.000, 0.000, 0.500)
O (0.333, 0.667, 0.982)
O (0.305, 0.278, 0.319)
O (0.722, 0.027, 0.319)
O (0.667, 0.333, 0.018)
O (0.278, 0.973, 0.681)
O (0.695, 0.722, 0.681)
O (0.027, 0.305, 0.681)
O (0.973, 0.695, 0.319)

(7)
# SrRuRh2O6

SrRuRh2O6 after structural relaxation (PBE, Alexandria).

Computed properties:
Space group: R3 (146)
Spin magnetization in Bohr magnetons per cell: 2.05
Total energy in eV per atom: -6.671

a = 5.438 Å, b = 5.438 Å, c = 5.746 Å
α = 90.00°, β = 118.24°, γ = 120.00°
Positions (direct):
Sr (0.044, 0.521, 0.551)
Ru (0.987, 0.993, 0.966)
Rh (0.584, 0.791, 0.361)
Rh (0.613, 0.306, 0.905)
O (0.569, 0.968, 0.694)
O (0.455, 0.055, 0.146)
O (0.761, 0.706, 0.146)
O (0.106, 0.399, 0.146)
O (0.739, 0.599, 0.694)
O (0.109, 0.139, 0.694)

(8)
# TiRuRhO6

TiRuRhO6 after structural relaxation (PBE, Alexandria).

Computed properties:
Space group: P-31c (163)
Spin magnetization in Bohr magnetons per cell: 1.35
Total energy in eV per atom: -7.544

a = 4.977 Å, b = 4.977 Å, c = 8.858 Å
α = 90.00°, β = 90.00°, γ = 120.00°
Positions (direct):
Ti (0.333, 0.667, 0.250)
Ti (0.667, 0.333, 0.750)
Ru (0.000, 0.000, 0.000)
Ru (0.000, 0.000, 0.500)
Rh (0.667, 0.333, 0.250)
Rh (0.333, 0.667, 0.750)
O (0.668, 0.681, 0.125)
O (0.013, 0.332, 0.125)
O (0.332, 0.013, 0.625)
O (0.987, 0.668, 0.875)
O (0.319, 0.332, 0.375)
O (0.013, 0.681, 0.375)
O (0.681, 0.013, 0.875)
O (0.668, 0.987, 0.375)
O (0.987, 0.319, 0.625)
O (0.319, 0.987, 0.125)
O (0.681, 0.668, 0.625)
O (0.332, 0.319, 0.875)